Entry from the Alexandria database: a relaxed structure of PuB2C (PBE).

Properties
As for the calculated formation energy: 10.93 kJ/mol of atoms. The calculation puts the magnetic moment at 5.04 μB/f.u.

abc: 3.222 17.399 2.969
angles: 90.00 90.00 90.00
Sites, in units of the cell vectors:
Pu: 0.000 0.107 0.250
Pu: 0.000 0.893 0.750
Pu: 0.500 0.393 0.750
Pu: 0.500 0.607 0.250
B: 0.000 0.250 0.750
B: 0.000 0.484 0.250
B: 0.000 0.516 0.750
B: 0.000 0.750 0.250
B: 0.500 0.016 0.750
B: 0.500 0.250 0.250
B: 0.500 0.750 0.750
B: 0.500 0.984 0.250
C: 0.000 0.297 0.250
C: 0.000 0.703 0.750
C: 0.500 0.203 0.750
C: 0.500 0.797 0.250